[1]
Computed, not measured: Ta4GaRu5 after structural relaxation at the PBE level of DFT. Values from VASP.

```
&SYSTEM
  ibrav = 0, nat = 10, ntyp = 3
/
ATOMIC_SPECIES
Ta 180.95 Ta.upf
Ga 69.72 Ga.upf
Ru 101.07 Ru.upf
CELL_PARAMETERS angstrom
3.1846 0.0000 0.0000
0.0000 3.1846 0.0000
0.0000 0.0000 15.4289
ATOMIC_POSITIONS angstrom
Ta 0.0000 0.0000 1.5836
Ta 0.0000 0.0000 4.7297
Ta 0.0000 0.0000 10.6992
Ta 0.0000 0.0000 13.8453
Ga 0.0000 0.0000 7.7145
Ru 1.5923 1.5923 0.0000
Ru 1.5923 1.5923 3.1279
Ru 1.5923 1.5923 6.2297
Ru 1.5923 1.5923 9.1992
Ru 1.5923 1.5923 12.3010
```

- ΔE_f: -0.38 eV/atom



[2]
Computed, not measured: Sr4Pb5 after structural relaxation at the PBE level of DFT. Values from VASP.

```
&SYSTEM
  ibrav = 0, nat = 18, ntyp = 2
/
ATOMIC_SPECIES
Sr 87.62 Sr.upf
Pb 207.20 Pb.upf
CELL_PARAMETERS angstrom
10.0781 0.0000 0.0000
-5.0391 8.7279 0.0000
0.0000 0.0000 7.1597
ATOMIC_POSITIONS angstrom
Sr 0.0000 0.0000 0.0000
Sr 0.0000 0.0000 3.5799
Sr -1.8316 3.1725 1.7899
Sr -3.2074 5.5554 5.3698
Sr 3.6633 0.0000 1.7899
Sr 1.8316 3.1725 5.3698
Sr 6.4148 0.0000 5.3698
Sr 3.2074 5.5554 1.7899
Pb -1.5638 2.7085 5.3698
Pb -3.4753 6.0194 1.7899
Pb 3.1275 0.0000 5.3698
Pb 1.5638 2.7085 1.7899
Pb 0.0000 5.8186 0.0000
Pb 0.0000 5.8186 3.5799
Pb 5.0391 2.9093 0.0000
Pb 5.0391 2.9093 3.5799
Pb 6.9506 0.0000 1.7899
Pb 3.4753 6.0194 5.3698
```

- Energy above the most stable polymorph in this dataset: 0.000 eV/atom
- ΔE_f: -0.39 eV/atom



[3]
Computed, not measured: NaSr2SnS after structural relaxation at the PBE level of DFT. Values from VASP.

```
&SYSTEM
  ibrav = 0, nat = 5, ntyp = 4
/
ATOMIC_SPECIES
Na 22.99 Na.upf
Sr 87.62 Sr.upf
Sn 118.71 Sn.upf
S 32.06 S.upf
CELL_PARAMETERS angstrom
5.7509 0.0000 0.0000
0.0000 5.7509 0.0000
0.0000 0.0000 5.1217
ATOMIC_POSITIONS angstrom
Na 0.0000 0.0000 0.0000
Sr 0.0000 2.8754 2.5608
Sr 2.8754 0.0000 2.5608
Sn 2.8754 2.8754 0.0000
S 0.0000 0.0000 2.5608
```

- E_form (uncorrected): -926 meV/atom



Which formula does entry 2 have? Sr4Pb5



Copy entry 3 word for word.
Computed, not measured: NaSr2SnS after structural relaxation at the PBE level of DFT. Values from VASP.

```
&SYSTEM
  ibrav = 0, nat = 5, ntyp = 4
/
ATOMIC_SPECIES
Na 22.99 Na.upf
Sr 87.62 Sr.upf
Sn 118.71 Sn.upf
S 32.06 S.upf
CELL_PARAMETERS angstrom
5.7509 0.0000 0.0000
0.0000 5.7509 0.0000
0.0000 0.0000 5.1217
ATOMIC_POSITIONS angstrom
Na 0.0000 0.0000 0.0000
Sr 0.0000 2.8754 2.5608
Sr 2.8754 0.0000 2.5608
Sn 2.8754 2.8754 0.0000
S 0.0000 0.0000 2.5608
```

- E_form (uncorrected): -926 meV/atom